Entry P
{
  "formula": "TlZn3Cl",
  "functional": "GGA-PBE",
  "state": "relaxed",
  "lattice_angstrom": [[-0.354, -5.163, 0.322], [2.537, 0.108, 4.521], [-4.508, 0.467, 2.518]],
  "species": ["Cl", "Zn", "Zn", "Zn", "Tl"],
  "fractional_positions": [[0.500, 0.500, 0.500], [0.000, 0.000, 0.500], [0.500, 0.000, 0.000], [0.000, 0.500, 0.000], [0.000, 0.000, 0.000]],
  "total_magnetization_mub_per_atom": 0.000
}

Entry Q
{
  "formula": "TlZn3Cl",
  "functional": "GGA-PBE",
  "state": "relaxed",
  "lattice_angstrom": [[5.225, 0.000, 0.000], [0.000, 5.225, 0.000], [0.000, 0.000, 5.225]],
  "species": ["Zn", "Cl", "Zn", "Tl", "Zn"],
  "fractional_positions": [[0.000, 0.000, 0.500], [0.000, 0.000, 0.000], [0.000, 0.500, 0.000], [0.500, 0.500, 0.500], [0.500, 0.000, 0.000]],
  "total_magnetization_mub_per_atom": 0.000
}

Least stable structure: entry Q

Entry P
{
  "formula": "TlZnCl4",
  "functional": "GGA-PBE",
  "state": "relaxed",
  "lattice_angstrom": [[-1.079, 3.259, 1.737], [-3.601, -3.665, 4.642], [10.558, -0.418, 7.343]],
  "species": ["Cl", "Cl", "Cl", "Tl", "Cl", "Cl", "Cl", "Zn", "Tl", "Cl", "Cl", "Zn"],
  "fractional_positions": [[0.500, 0.784, 0.615], [0.500, 0.216, 0.385], [0.500, 0.136, 0.891], [0.000, 0.000, 0.500], [0.000, 0.284, 0.115], [0.000, 0.364, 0.609], [0.000, 0.636, 0.391], [0.000, 0.000, 0.000], [0.500, 0.500, 0.000], [0.500, 0.864, 0.109], [0.000, 0.716, 0.885], [0.500, 0.500, 0.500]],
  "total_magnetization_mub_per_atom": 0.000
}

Entry Q
{
  "formula": "TlZnCl4",
  "functional": "GGA-PBE",
  "state": "relaxed",
  "lattice_angstrom": [[1.907, 2.706, 5.184], [-4.111, 2.082, 4.074], [-0.699, -2.861, 5.400]],
  "species": ["Cl", "Tl", "Cl", "Cl", "Cl", "Zn"],
  "fractional_positions": [[0.375, 0.874, 0.375], [0.750, 0.750, 0.750], [0.375, 0.375, 0.874], [0.375, 0.375, 0.375], [0.874, 0.375, 0.375], [0.000, 0.000, 0.000]],
  "total_magnetization_mub_per_atom": 0.518
}

Entry R
{
  "formula": "TlZnCl4",
  "functional": "GGA-PBE",
  "state": "relaxed",
  "lattice_angstrom": [[-6.121, 0.811, 7.176], [-1.923, -3.949, 5.051], [6.487, 1.402, -0.870]],
  "species": ["Cl", "Cl", "Cl", "Cl", "Tl", "Zn"],
  "fractional_positions": [[0.842, 0.478, 0.913], [0.407, 0.522, 0.087], [0.680, 0.913, 0.522], [0.072, 0.087, 0.478], [0.500, 0.000, 0.000], [0.750, 0.500, 0.500]],
  "total_magnetization_mub_per_atom": 0.138
}

Least stable structure: entry Q

Entry P
{
  "formula": "Zr2TlCl",
  "functional": "GGA-PBE",
  "state": "relaxed",
  "lattice_angstrom": [[4.336, 0.000, 0.000], [0.000, 4.336, 0.000], [2.168, 2.168, 10.371]],
  "species": ["Zr", "Tl", "Zr", "Cl", "Tl", "Zr", "Zr", "Cl"],
  "fractional_positions": [[0.875, 0.877, 0.750], [0.750, 0.250, 0.500], [0.123, 0.625, 0.250], [0.250, 0.750, 0.500], [0.000, 0.000, 0.000], [0.627, 0.125, 0.250], [0.375, 0.373, 0.750], [0.500, 0.500, 0.000]],
  "total_magnetization_mub_per_atom": 0.000
}

Entry Q
{
  "formula": "Zr2TlCl",
  "functional": "GGA-PBE",
  "state": "relaxed",
  "lattice_angstrom": [[-1.086, 3.544, -3.301], [-1.690, -2.139, -1.740], [-5.532, 0.253, 2.091]],
  "species": ["Tl", "Cl", "Zr", "Zr"],
  "fractional_positions": [[0.500, 0.665, 0.799], [0.000, 0.378, 0.372], [0.000, 0.057, 0.008], [0.500, 0.400, 0.321]],
  "total_magnetization_mub_per_atom": 0.000
}

Least stable structure: entry P

Entry P
{
  "formula": "Zr2TlCl",
  "functional": "GGA-PBE",
  "state": "relaxed",
  "lattice_angstrom": [[3.265, 0.000, 0.000], [0.000, 5.634, 0.000], [0.000, 0.000, 5.021]],
  "species": ["Zr", "Cl", "Zr", "Tl"],
  "fractional_positions": [[0.000, 0.000, 0.000], [0.500, 0.000, 0.500], [0.500, 0.500, 0.000], [0.000, 0.500, 0.500]],
  "total_magnetization_mub_per_atom": 0.000
}

Entry Q
{
  "formula": "Zr2TlCl",
  "functional": "GGA-PBE",
  "state": "relaxed",
  "lattice_angstrom": [[5.135, 0.002, -0.012], [-0.002, 5.135, -0.012], [0.009, 0.009, 3.249]],
  "species": ["Tl", "Zr", "Cl", "Zr"],
  "fractional_positions": [[0.000, 0.500, 0.500], [0.500, 0.500, 0.000], [0.500, 0.000, 0.500], [0.000, 0.000, 0.000]],
  "total_magnetization_mub_per_atom": 0.000
}

Least stable structure: entry P